1.
Here is a geometry-optimized TlFe2S structure from the Alexandria database. Energies are from PBE-GGA.

Structure (POSCAR):
```
TlFe2S
1.0
0.0000 3.0668 3.0668
3.0668 0.0000 3.0668
3.0668 3.0668 0.0000
S Fe Tl
1 2 1
Direct
0.0000 0.0000 0.0000
0.2500 0.2500 0.2500
0.7500 0.7500 0.7500
0.5000 0.5000 0.5000
```

Summary:
space group	No. 225
total energy	-0.365	Ry/atom
offset from the most stable computed form	187	kJ/mol of formula units
total magnetization	0.00	Bohr magnetons per cell



2.
Here is a geometry-optimized Pm6Ga6Sn structure from the Alexandria database. Energies are from PBE-GGA.

Structure (POSCAR):
```
Pm6Ga6Sn
1.0
6.1137 -0.0005 0.0000
-3.0565 5.2948 0.0000
0.0000 0.0000 10.3428
Ga Sn Pm
6 1 6
Direct
0.5000 0.0000 0.2546
0.0000 0.5000 0.2546
0.5000 0.0000 0.7454
0.5000 0.5000 0.7454
0.0000 0.5000 0.7454
0.5000 0.5000 0.2546
0.0000 0.0000 0.0000
0.0000 0.0000 0.7000
0.0000 0.0000 0.3000
0.3333 0.6667 0.5000
0.6667 0.3333 0.0000
0.6667 0.3333 0.5000
0.3333 0.6667 0.0000
```

Summary:
energy relative to the elements	-0.476	eV/atom
space group	No. 191
total energy	-0.321	Ry/atom
total magnetization	0.00	Bohr magnetons per cell



3.
Here is a geometry-optimized Ho8SnSb5 structure from the Alexandria database. Energies are from PBE-GGA.

Structure (POSCAR):
```
Ho8SnSb5
1.0
-4.5349 5.8724 2.8320
-4.6380 -5.8727 -2.6589
4.6972 -2.7540 5.7811
Sb Ho Sn
5 8 1
Direct
0.3757 0.1251 0.0008
0.9992 0.3749 0.1243
0.5000 0.0000 0.5000
0.8757 0.8749 0.2506
0.7494 0.6251 0.6243
0.4799 0.6046 0.2281
0.9804 0.1049 0.7307
0.6257 0.8951 0.8754
0.7719 0.2518 0.3765
0.1246 0.7503 0.0196
0.6235 0.3954 0.8754
0.2693 0.2497 0.3743
0.1246 0.7482 0.5201
0.2500 0.5000 0.7500
```

Summary:
space group	No. 82
total energy	-0.390	Ry/atom
total magnetization	0.00	Bohr magnetons per cell



4.
Here is a geometry-optimized CoNiSe3 structure from the Alexandria database. Energies are from PBE-GGA.

Structure (POSCAR):
```
CoNiSe3
1.0
5.8559 0.3537 0.9062
1.0836 7.7716 0.8607
0.4892 -0.3493 7.8709
Co Se Ni
4 12 4
Direct
0.0310 0.6467 0.8356
0.4690 0.1644 0.3533
0.9690 0.3533 0.1644
0.5310 0.8356 0.6467
0.0573 0.2589 0.4473
0.9427 0.7411 0.5527
0.8566 0.0815 0.1807
0.5573 0.4473 0.2589
0.9273 0.3665 0.8666
0.1434 0.9185 0.8193
0.4273 0.8666 0.3665
0.3566 0.1807 0.0815
0.4427 0.5527 0.7411
0.0727 0.6335 0.1334
0.6434 0.8193 0.9185
0.5727 0.1334 0.6335
0.2500 0.8960 0.1040
0.7500 0.6324 0.3676
0.2500 0.3676 0.6324
0.7500 0.1040 0.8960
```

Summary:
space group	No. 15
total energy	-0.355	Ry/atom
offset from the most stable computed form	0	kJ/mol of formula units
total magnetization	0.00	Bohr magnetons per cell



5.
Here is a geometry-optimized PdAuO2 structure from the Alexandria database. Energies are from PBE-GGA.

Structure (POSCAR):
```
PdAuO2
1.0
6.4771 0.0018 -0.0052
5.7418 2.9973 -0.0052
1.9249 0.4725 6.0001
O Au Pd
4 2 2
Direct
0.4382 0.4382 0.7217
0.0979 0.0979 0.8313
0.5618 0.5618 0.2783
0.9021 0.9021 0.1687
0.7350 0.7350 0.2124
0.2650 0.2650 0.7876
0.5000 0.5000 0.0000
0.0000 0.0000 0.5000
```

Summary:
space group	No. 12
total energy	-0.354	Ry/atom
total magnetization	0.00	Bohr magnetons per cell



6.
Here is a geometry-optimized CrCo2TcBi structure from the Alexandria database. Energies are from PBE-GGA.

Structure (POSCAR):
```
CrCo2TcBi
1.0
-0.0082 4.1811 0.7398
-2.5024 -0.7468 4.1933
3.6610 -0.3678 2.1192
Bi Co Cr Tc
1 2 1 1
Direct
0.0000 0.5000 0.0000
0.0000 0.0000 0.5000
0.5000 0.0000 0.0000
0.0000 0.0000 0.0000
0.5000 0.5000 0.5000
```

Summary:
energy relative to the elements	1.458	eV/atom
space group	No. 123
total energy	-0.453	Ry/atom
total magnetization	4.13	Bohr magnetons per cell



7.
Here is a geometry-optimized VPdSeN2 structure from the Alexandria database. Energies are from PBE-GGA.

Structure (POSCAR):
```
VPdSeN2
1.0
-2.2924 3.0759 0.3576
-3.0885 -2.3033 0.0126
0.3007 -0.3751 5.1539
N V Se Pd
2 1 1 1
Direct
0.5000 0.0000 0.0000
0.0000 0.5000 0.0000
0.5000 0.5000 0.5000
0.0000 0.0000 0.5000
0.0000 0.0000 0.0000
```

Summary:
space group	No. 123
total energy	-0.391	Ry/atom
offset from the most stable computed form	573	kJ/mol of formula units
total magnetization	0.00	Bohr magnetons per cell



8.
Here is a geometry-optimized Ta2CuTe structure from the Alexandria database. Energies are from PBE-GGA.

Structure (POSCAR):
```
Ta2CuTe
1.0
4.2780 0.0000 0.0000
0.0000 4.0770 0.0000
0.0000 0.0000 4.0770
Te Ta Cu
1 2 1
Direct
0.5000 0.5000 0.0000
0.0000 0.5000 0.5000
0.0000 0.0000 0.0000
0.5000 0.0000 0.5000
```

Summary:
space group	No. 123
total energy	-0.541	Ry/atom
total magnetization	0.00	Bohr magnetons per cell